(1)
Material: PuSbRu2
Method: DFT, PBE
State: optimized geometry

a = 3.678 Å, b = 4.455 Å, c = 4.455 Å
α = 90.00°, β = 90.00°, γ = 90.00°
Atoms (fractional coordinates):
Sb 0.500 0.000 0.000
Ru 0.000 0.000 0.500
Ru 0.000 0.500 0.000
Pu 0.500 0.500 0.500

Values from the calculation:
total magnetization = 4.2 μB/cell
formation energy (no corrections) = -0.1470 eV/atom
DOS(E_F) = 2.081 states/eV per atom
ρ = 12.92 g/cm³



(2)
Material: BaAcAg2F8
Method: DFT, PBE
State: optimized geometry

a = 6.115 Å, b = 6.115 Å, c = 7.401 Å
α = 114.40°, β = 114.40°, γ = 90.00°
Atoms (fractional coordinates):
Ba 0.000 0.000 0.000
Ac 0.750 0.250 0.500
Ag 0.500 0.500 0.000
Ag 0.250 0.750 0.500
F 0.729 0.880 0.161
F 0.432 0.280 0.161
F 0.610 0.644 0.635
F 0.025 0.991 0.635
F 0.009 0.390 0.365
F 0.356 0.975 0.365
F 0.120 0.568 0.839
F 0.720 0.271 0.839

Values from the calculation:
total magnetization = 1.0 μB/cell
formation energy (no corrections) = -2.7853 eV/atom
DOS(E_F) = 0.495 states/eV per atom
ρ = 5.41 g/cm³



(3)
Material: BiAs2BrF
Method: DFT, PBE
State: optimized geometry

a = 5.663 Å, b = 5.663 Å, c = 5.619 Å
α = 90.00°, β = 90.00°, γ = 90.00°
Atoms (fractional coordinates):
As 0.000 0.500 0.000
As 0.500 0.000 0.000
Bi 0.000 0.000 0.000
Br 0.000 0.000 0.500
F 0.500 0.500 0.500

Values from the calculation:
total magnetization = 3.2 μB/cell
formation energy (no corrections) = 0.5496 eV/atom
polymorph energy (0 for the lowest one) = 471 meV per atom
DOS(E_F) = 1.509 states/eV per atom
ρ = 4.22 g/cm³



(4)
Material: InAgBi2H
Method: DFT, PBE
State: optimized geometry

a = 5.568 Å, b = 3.692 Å, c = 5.568 Å
α = 90.00°, β = 90.00°, γ = 90.00°
Atoms (fractional coordinates):
H 0.000 0.000 0.000
Bi 0.000 0.000 0.500
Bi 0.500 0.000 0.000
Ag 0.000 0.500 0.000
In 0.500 0.500 0.500

Values from the calculation:
total magnetization = 0.0 μB/cell
polymorph energy (0 for the lowest one) = 94 meV per atom
DOS(E_F) = 0.417 states/eV per atom
ρ = 9.31 g/cm³



(5)
Material: Ce2TmSn
Method: DFT, PBE
State: optimized geometry

a = 5.135 Å, b = 4.570 Å, c = 4.570 Å
α = 90.00°, β = 90.00°, γ = 90.00°
Atoms (fractional coordinates):
Tm 0.500 0.500 0.500
Sn 0.500 0.000 0.000
Ce 0.000 0.000 0.500
Ce 0.000 0.500 0.000

Values from the calculation:
total magnetization = 1.6 μB/cell
polymorph energy (0 for the lowest one) = 0 meV per atom
DOS(E_F) = 2.393 states/eV per atom
energy relative to the elements = -0.40 eV per atom
ρ = 8.79 g/cm³



(6)
Material: Nd2Sm2Dy2Mg
Method: DFT, PBE
State: optimized geometry

a = 3.561 Å, b = 6.156 Å, c = 11.780 Å
α = 111.34°, β = 90.00°, γ = 106.81°
Atoms (fractional coordinates):
Nd 0.547 0.094 0.763
Nd 0.453 0.906 0.237
Sm 0.764 0.527 0.638
Sm 0.236 0.473 0.362
Dy 0.670 0.340 0.084
Dy 0.330 0.660 0.916
Mg 0.000 0.000 0.500

Values from the calculation:
total magnetization = 0.0 μB/cell
DOS(E_F) = 1.482 states/eV per atom
energy relative to the elements = 0.09 eV per atom
ρ = 6.82 g/cm³